# LuZr2Mo

Crystalline LuZr2Mo at its relaxed geometry (GGA-PBE, Alexandria).

The space group is P4/mmm (No. 123) and the conventional cell measures 3.4426, 3.4426 and 7.5592 Å, with angles of 90.00, 90.00 and 90.00 degrees. The distinct sites, in fractional coordinates, are Lu at (0.0000, 0.0000, 0.0000), Zr at (0.5000, 0.5000, 0.2968) and Mo at (0.0000, 0.0000, 0.5000).

The calculation puts the density of states at the Fermi level at 6.25 states/eV/cell. The formation energy from the elements is 53 meV/atom. The value obtained for the energy relative to the lowest polymorph listed for this composition is 0 meV/atom.

=====

# Lu3N

Crystalline Lu3N at its relaxed geometry (GGA-PBE, Alexandria).

The space group is I4/mmm (No. 139) and the conventional cell measures 3.4545, 3.4545 and 13.9909 Å, with angles of 90.00, 90.00 and 90.00 degrees. The distinct sites, in fractional coordinates, are Lu at (0.0000, 0.0000, 0.0000), Lu at (0.0000, 0.0000, 0.3345) and N at (0.0000, 0.0000, 0.5000).

The calculation puts the density of states at the Fermi level at 7.12 states/eV/cell. The electronic total energy is -6.27 eV/atom.